1.
A plane-wave DFT calculation with PBE-GGA was carried out for a relaxed GaGeI crystal.

Cell and atoms, written as POSCAR:
```
GaGeI
1.0
-0.0887 4.3297 -0.4617
-1.7408 1.8544 3.9776
9.4322 1.1866 4.1946
I Ga Ge
2 2 2
Direct
0.4053 0.5808 0.2128
0.8564 0.0139 0.8798
0.8633 0.4956 0.7147
0.1715 0.9440 0.4260
0.3577 0.5577 0.6022
0.5803 0.1987 0.4246
```

Values from the calculation:
Total energy ... -19.0 eV for the cell shown
Uncorrected formation energy ... -0.106 eV per atom
Calculated density ... 4.4 g/cm3
Crystal system ... triclinic
Distance to the lowest polymorph of the same formula ... 140 meV per atom

***

2.
A plane-wave DFT calculation with PBE-GGA was carried out for a relaxed Nd3Sm6Y crystal.

Cell and atoms, written as POSCAR:
```
Nd3Sm6Y
1.0
-1.3592 -4.7108 4.2935
10.7622 -2.5572 0.6011
-4.4222 7.5094 6.8394
Sm Nd Y
12 6 2
Direct
0.0566 0.7151 0.6276
0.1549 0.7248 0.2752
0.8553 0.0325 0.9675
0.5566 0.2849 0.3724
0.8657 0.9414 0.5219
0.8657 0.4781 0.0586
0.0566 0.3724 0.2849
0.3553 0.9675 0.0325
0.5566 0.6276 0.7151
0.6549 0.2752 0.7248
0.3657 0.0586 0.4781
0.3657 0.5219 0.9414
0.9680 0.0599 0.2920
0.4680 0.2920 0.0599
0.4680 0.9401 0.7080
0.5805 0.6139 0.3861
0.9680 0.7080 0.9401
0.0805 0.3861 0.6139
0.1138 0.1878 0.8122
0.6138 0.8122 0.1878
```

Values from the calculation:
N(E_F) ... 1.319 states/eV/atom
Total energy ... -95.3 eV for the cell shown
Calculated density ... 6.9 g/cm3
Crystal system ... orthorhombic
DFT formation energy ... 0.141 eV per atom
Distance to the lowest polymorph of the same formula ... 0 meV per atom

***

3.
A plane-wave DFT calculation with PBE-GGA was carried out for a relaxed LaMg2F8 crystal.

Cell and atoms, written as POSCAR:
```
LaMg2F8
1.0
-3.2089 4.0555 0.6322
-1.1994 -1.6940 4.7786
6.5126 1.8900 -0.5354
F La Mg
8 1 2
Direct
0.5637 0.6485 0.7227
0.4363 0.9258 0.2773
0.9258 0.8410 0.2773
0.6485 0.1590 0.7227
0.0742 0.5637 0.7227
0.8410 0.3515 0.2773
0.3515 0.4363 0.2773
0.1590 0.0742 0.7227
0.5000 0.5000 0.0000
0.2500 0.7500 0.5000
0.7500 0.2500 0.5000
```

Values from the calculation:
N(E_F) ... 0.861 states/eV/atom
Total energy ... -58.8 eV for the cell shown
Uncorrected formation energy ... -3.251 eV per atom
Calculated density ... 3.6 g/cm3
Crystal system ... tetragonal